(1)
A relaxed structure of CaTlRh2. Source: Alexandria, functional GGA-PBE.

Results
Calculated density, g/cm3: 10.1
DFT total energy, eV/atom: -4.991
Calculated volume, Å³ per atom: 18.52
DFT formation energy, meV/atom: -223

Cell lengths 4.6575, 4.6575, 3.4156 Å; angles 90.00, 90.00, 90.02 degrees
With the nearest neighbours (Å) after each atom.
Positions (direct):
Rh1 0.5000 0.5000 0.0000  4 Tl 2.89, 4 Ca 2.89
Tl1 0.5000 0.0000 0.5000  8 Rh 2.89
Ca1 0.0000 0.5000 0.5000  8 Rh 2.89
Rh2 0.0000 0.0000 0.0000  4 Ca 2.89, 4 Tl 2.89

(2)
A relaxed structure of Nd2Sm3P4. Source: Alexandria, functional GGA-PBE.

Results
Calculated density, g/cm3: 5.9
DFT total energy, eV/atom: -6.426
Calculated volume, Å³ per atom: 27.14
DFT formation energy, meV/atom: -1390

Cell lengths 4.0992, 7.0983, 9.1945 Å; angles 75.06, 77.12, 73.22 degrees
With the nearest neighbours (Å) after each atom.
Positions (direct):
P1 0.3991 0.3019 0.9000  5 Sm 2.83-2.91, 1 Nd 2.89
Sm1 0.7959 0.5990 0.8091  5 P 2.83-2.91
Sm2 0.0000 0.0000 0.0000  6 P 2.91-2.93
P2 0.7982 0.1022 0.3014  3 Nd 2.84-2.91, 3 Sm 2.91-2.93
Sm3 0.2041 0.4010 0.1909  5 P 2.83-2.91
Nd1 0.6027 0.1878 0.6068  4 P 2.84-2.91
P3 0.2018 0.8978 0.6986  3 Nd 2.84-2.91, 3 Sm 2.91-2.93
P4 0.6009 0.6981 0.1000  5 Sm 2.83-2.91, 1 Nd 2.89
Nd2 0.3973 0.8122 0.3932  4 P 2.84-2.91

(3)
A relaxed structure of TbScU2P4. Source: Alexandria, functional GGA-PBE.

Results
Calculated density, g/cm3: 7.8
DFT total energy, eV/atom: -8.148
Calculated volume, Å³ per atom: 21.31
DFT formation energy, meV/atom: -1251

Cell lengths 3.9042, 6.7546, 6.8457 Å; angles 109.23, 90.00, 90.00 degrees
With the nearest neighbours (Å) after each atom.
Positions (direct):
P1 0.5000 0.2580 0.2506  1 Sc 2.73, 3 U 2.75-2.81, 2 Tb 2.80
P2 0.0000 0.7409 0.2454  2 Sc 2.73, 3 U 2.75-2.81, 1 Tb 2.80
P3 0.5000 0.7420 0.7494  1 Sc 2.73, 3 U 2.75-2.81, 2 Tb 2.80
Tb1 0.0000 0.0000 0.0000  6 P 2.80
U1 0.5000 0.0000 0.5000  6 P 2.81
P4 0.0000 0.2591 0.7546  2 Sc 2.73, 3 U 2.75-2.81, 1 Tb 2.80
U2 0.0000 0.5000 0.5000  6 P 2.75
Sc1 0.5000 0.5000 0.0000  6 P 2.73

(4)
A relaxed structure of Ho2Sc3Ni4. Source: Alexandria, functional GGA-PBE.

Results
Calculated density, g/cm3: 6.9
DFT total energy, eV/atom: -6.138
Calculated volume, Å³ per atom: 18.79
DFT formation energy, meV/atom: -441

Cell lengths 7.2838, 6.9992, 6.9858 Å; angles 90.00, 90.00, 108.26 degrees
With the nearest neighbours (Å) after each atom.
Positions (direct):
Ni1 0.1187 0.4984 0.8745  1 Ni 2.47, 4 Sc 2.68-2.76
Sc1 0.2490 0.2442 0.6681  6 Ni 2.63-2.75
Ho1 0.9157 0.8033 0.8252  6 Ni 2.88-2.97
Ni2 0.1249 0.9130 0.4619  1 Ni 2.54, 4 Sc 2.63-2.76
Ho2 0.0843 0.1967 0.1748  6 Ni 2.88-2.97
Ni3 0.6249 0.9130 0.0381  1 Ni 2.54, 4 Sc 2.63-2.76
Ho3 0.4157 0.8033 0.6748  6 Ni 2.88-2.97
Ni4 0.8751 0.0870 0.5381  1 Ni 2.54, 4 Sc 2.63-2.76
Sc2 0.2510 0.7558 0.1681  6 Ni 2.63-2.75
Ni5 0.8813 0.5016 0.1255  1 Ni 2.47, 4 Sc 2.68-2.76
Ni6 0.3751 0.0870 0.9619  1 Ni 2.54, 4 Sc 2.63-2.76
Ho4 0.5843 0.1967 0.3252  6 Ni 2.88-2.97
Sc3 0.0000 0.5000 0.5000  6 Ni 2.76-2.91
Ni7 0.3813 0.5016 0.3745  1 Ni 2.47, 4 Sc 2.68-2.76
Sc4 0.5000 0.5000 0.0000  6 Ni 2.76-2.91
Sc5 0.7510 0.7558 0.3319  6 Ni 2.63-2.75
Ni8 0.6187 0.4984 0.6255  1 Ni 2.47, 4 Sc 2.68-2.76
Sc6 0.7490 0.2442 0.8319  6 Ni 2.63-2.75

(5)
A relaxed structure of AgMoRh2. Source: Alexandria, functional GGA-PBE.

Results
Calculated density, g/cm3: 11.2
DFT total energy, eV/atom: -6.992
Calculated volume, Å³ per atom: 15.18
Offset from the most stable computed form, meV/atom: 134
DFT formation energy, meV/atom: 105

Cell lengths 4.7212, 4.7212, 4.7212 Å; angles 129.72, 129.72, 73.85 degrees
With the nearest neighbours (Å) after each atom.
Positions (direct):
Mo1 0.7500 0.2500 0.5000  8 Rh 2.75, 4 Ag 2.84
Rh1 0.0000 0.0000 0.0000  4 Mo 2.75, 4 Ag 2.75, 4 Rh 2.84
Rh2 0.5000 0.5000 0.0000  4 Ag 2.75, 4 Mo 2.75, 4 Rh 2.84
Ag1 0.2500 0.7500 0.5000  8 Rh 2.75, 4 Mo 2.84

(6)
A relaxed structure of Sc2RhBr. Source: Alexandria, functional GGA-PBE.

Results
Calculated density, g/cm3: 5.8
DFT total energy, eV/atom: -5.362
Calculated volume, Å³ per atom: 19.57
Formation energy from raw total energies, kJ/mol of formula units: 23.1
Offset from the most stable computed form, meV/atom: 986

Cell lengths 4.8018, 4.8018, 4.8018 Å; angles 60.00, 60.00, 60.00 degrees
With the nearest neighbours (Å) after each atom.
Positions (direct):
Sc1 0.0000 0.0000 0.0000  4 Sc 2.94, 4 Rh 2.94
Br1 0.5000 0.5000 0.5000  4 Sc 2.94, 4 Rh 2.94
Rh1 0.7500 0.7500 0.7500  4 Br 2.94, 4 Sc 2.94
Sc2 0.2500 0.2500 0.2500  4 Br 2.94, 4 Sc 2.94

(7)
A relaxed structure of LiLa2Be2O6. Source: Alexandria, functional GGA-PBE.

Results
Calculated density, g/cm3: 5.2
DFT total energy, eV/atom: -6.998
Calculated volume, Å³ per atom: 11.51
Formation energy from raw total energies, kJ/mol of formula units: -2702.5

Cell lengths 5.3116, 5.3116, 6.0203 Å; angles 63.82, 63.82, 60.00 degrees
With the nearest neighbours (Å) after each atom.
Positions (direct):
O1 0.2573 0.7538 0.7316  1 Be 1.52
La1 0.7800 0.7800 0.6600  9 O 2.55-2.68
O2 0.7427 0.7427 0.2684  1 Be 1.52
La2 0.2200 0.2200 0.3400  9 O 2.55-2.68
O3 0.2573 0.2573 0.7316  1 Be 1.52
O4 0.2462 0.7427 0.2684  1 Be 1.52
Li1 0.0000 0.0000 0.0000  6 O 2.08
O5 0.7538 0.2573 0.7316  1 Be 1.52
Be1 0.5760 0.5760 0.2721  3 O 1.52
O6 0.7427 0.2462 0.2684  1 Be 1.52
Be2 0.4240 0.4240 0.7279  3 O 1.52

(8)
A relaxed structure of Mg2PtI4. Source: Alexandria, functional GGA-PBE.

Results
Calculated density, g/cm3: 5.4
DFT total energy, eV/atom: -2.496
Calculated volume, Å³ per atom: 32.81
Formation energy from raw total energies, kJ/mol of formula units: -197.3

Cell lengths 5.5892, 5.5892, 8.3475 Å; angles 70.44, 70.44, 90.00 degrees
With the nearest neighbours (Å) after each atom.
Positions (direct):
I1 0.0000 0.5000 0.0000  2 Pt 2.79
Pt1 0.0000 0.0000 0.0000  6 I 2.79-3.02
I2 0.2056 0.2056 0.5888  1 Mg 2.68
Mg1 0.3877 0.3877 0.2246  1 I 2.68
I3 0.5000 0.0000 0.0000  2 Pt 2.79
Mg2 0.6123 0.6123 0.7754  1 I 2.68
I4 0.7944 0.7944 0.4112  1 Mg 2.68

(9)
A relaxed structure of NaMgRe3. Source: Alexandria, functional GGA-PBE.

Results
Calculated density, g/cm3: 10.2
DFT total energy, eV/atom: -5.393
Calculated volume, Å³ per atom: 19.72
Offset from the most stable computed form, meV/atom: 0
DFT formation energy, meV/atom: 2659

Cell lengths 4.6201, 4.6201, 4.6201 Å; angles 90.00, 90.00, 90.00 degrees
With the nearest neighbours (Å) after each atom.
Positions (direct):
Mg1 0.0000 0.0000 0.0000  6 Re 2.31
Na1 0.5000 0.5000 0.5000  12 Re 3.27
Re1 0.0000 0.5000 0.0000  2 Mg 2.31
Re2 0.5000 0.0000 0.0000  2 Mg 2.31
Re3 0.0000 0.0000 0.5000  2 Mg 2.31

(10)
A relaxed structure of Sm3Tl2Au2. Source: Alexandria, functional GGA-PBE.

Results
Calculated density, g/cm3: 11.3
DFT total energy, eV/atom: -4.210
Calculated volume, Å³ per atom: 26.38
DFT formation energy, meV/atom: -575

Cell lengths 4.5516, 3.5977, 11.5026 Å; angles 90.00, 78.59, 90.00 degrees
With the nearest neighbours (Å) after each atom.
Positions (direct):
Sm1 0.0000 0.0000 0.0000  8 Tl 3.41, 4 Sm 3.60-3.77
Tl1 0.5792 0.5000 0.8417  1 Au 3.02
Sm2 0.1670 0.0000 0.6661  6 Au 3.08-3.25
Au1 0.2868 0.5000 0.4264  2 Au 2.82, 1 Tl 3.02, 4 Sm 3.08
Sm3 0.8330 0.0000 0.3339  6 Au 3.08-3.25
Au2 0.7132 0.5000 0.5736  2 Au 2.82, 1 Tl 3.02, 4 Sm 3.08
Tl2 0.4208 0.5000 0.1583  1 Au 3.02